No. 1
A geometry-optimized LaNp2Fe9 structure, computed with GGA-PBE.

a = 5.0070 Å, b = 5.0070 Å, c = 24.7908 Å
α = 90.00°, β = 90.00°, γ = 120.00°
Space group R-3m (No. 166, hexagonal axes)
Asymmetric unit:
La 0.0000 0.0000 0.0000 (multiplicity 3)
Np 0.0000 0.0000 0.1457 (multiplicity 6)
Fe 0.0000 0.0000 0.3328 (multiplicity 6)
Fe 0.0000 0.0000 0.5000 (multiplicity 3)
Fe 0.0020 0.5010 0.0832 (multiplicity 18)

Calculated values
- DFT total energy: -8.877 eV per atom
- Calculated formation energy: 38 meV/atom
- Calculated volume: 538.2 Å³ per cell

No. 2
A geometry-optimized LiPu4Te5 structure, computed with GGA-PBE.

a = 4.421 Å, b = 6.270 Å, c = 22.159 Å
α = 90.00°, β = 90.00°, γ = 90.00°
Space group Immm (No. 71)
Asymmetric unit:
Li 0.000 0.000 0.000 (multiplicity 2)
Pu 0.000 0.000 0.198 (multiplicity 4)
Pu 0.000 0.000 0.401 (multiplicity 4)
Te 0.000 0.500 0.000 (multiplicity 2)
Te 0.000 0.500 0.200 (multiplicity 4)
Te 0.000 0.500 0.402 (multiplicity 4)

Calculated values
- DFT total energy: -8.569 eV per atom
- Calculated volume: 614.2 Å³ per cell

No. 3
A geometry-optimized HoEr2Cd4 structure, computed with GGA-PBE.

a = 5.293 Å, b = 5.293 Å, c = 13.713 Å
α = 90.00°, β = 90.00°, γ = 90.00°
Space group I4/mmm (No. 139)
Asymmetric unit:
Ho 0.000 0.000 0.000 (multiplicity 2)
Er 0.000 0.000 0.258 (multiplicity 4)
Cd 0.000 0.500 0.116 (multiplicity 8)

Calculated values
- DFT total energy: -2.630 eV per atom
- Calculated formation energy: -149 meV/atom
- Calculated volume: 384.2 Å³ per cell

No. 4
A geometry-optimized Nd3CdO6 structure, computed with GGA-PBE.

a = 9.388 Å, b = 11.585 Å, c = 5.822 Å
α = 90.00°, β = 90.00°, γ = 90.00°
Space group Cmc2_1 (No. 36)
Asymmetric unit:
Nd 0.000 0.103 0.000 (multiplicity 4)
Nd 0.197 0.389 0.059 (multiplicity 8)
Cd 0.000 0.334 0.567 (multiplicity 4)
O 0.000 0.278 0.212 (multiplicity 4)
O 0.000 0.488 0.821 (multiplicity 4)
O 0.159 0.016 0.279 (multiplicity 8)
O 0.162 0.238 0.779 (multiplicity 8)

Calculated values
- DFT total energy: -7.145 eV per atom
- Calculated volume: 633.2 Å³ per cell

No. 5
A geometry-optimized CaPaRu2 structure, computed with GGA-PBE.

a = 6.791 Å, b = 6.791 Å, c = 6.791 Å
α = 90.00°, β = 90.00°, γ = 90.00°
Space group Fm-3m (No. 225)
Asymmetric unit:
Ca 0.000 0.000 0.000 (multiplicity 4)
Pa 0.000 0.000 0.500 (multiplicity 4)
Ru 0.250 0.250 0.250 (multiplicity 8)

Calculated values
- DFT total energy: -7.695 eV per atom
- Calculated formation energy: -182 meV/atom
- Calculated volume: 313.3 Å³ per cell

No. 6
A geometry-optimized LiHg2Au structure, computed with GGA-PBE.

a = 9.312 Å, b = 3.417 Å, c = 5.244 Å
α = 90.00°, β = 102.30°, γ = 90.00°
Space group C2/m (No. 12)
Asymmetric unit:
Li 0.000 0.000 0.000 (multiplicity 2)
Hg 0.246 0.500 0.242 (multiplicity 4)
Au 0.000 0.500 0.500 (multiplicity 2)

Calculated values
- DFT total energy: -1.647 eV per atom
- Calculated formation energy: -198 meV/atom
- Calculated volume: 163.0 Å³ per cell

No. 7
A geometry-optimized Zr2RhSe structure, computed with GGA-PBE.

a = 6.505 Å, b = 3.750 Å, c = 7.164 Å
α = 90.00°, β = 107.53°, γ = 90.00°
Space group C2/m (No. 12)
Asymmetric unit:
Zr 0.242 0.000 0.226 (multiplicity 4)
Rh 0.000 0.500 0.000 (multiplicity 2)
Se 0.000 0.000 0.500 (multiplicity 2)

Calculated values
- DFT total energy: -7.833 eV per atom
- Calculated volume: 166.6 Å³ per cell

No. 8
A geometry-optimized NaP2F8 structure, computed with GGA-PBE.

a = 9.810 Å, b = 5.533 Å, c = 6.694 Å
α = 90.00°, β = 118.79°, γ = 90.00°
Space group C2/m (No. 12)
Asymmetric unit:
Na 0.000 0.000 0.000 (multiplicity 2)
P 0.146 0.000 0.632 (multiplicity 4)
F 0.128 0.224 0.779 (multiplicity 8)
F 0.167 0.500 0.213 (multiplicity 4)
F 0.185 0.000 0.385 (multiplicity 4)

Calculated values
- DFT total energy: -4.689 eV per atom
- Calculated volume: 318.4 Å³ per cell

No. 9
A geometry-optimized GaBiPSe structure, computed with GGA-PBE.

a = 6.754 Å, b = 3.924 Å, c = 8.290 Å
α = 90.00°, β = 102.66°, γ = 90.00°
Space group Cm (No. 8)
Asymmetric unit:
Ga 0.000 0.000 0.000 (multiplicity 2)
Bi 0.422 0.000 0.521 (multiplicity 2)
P 0.320 0.500 0.712 (multiplicity 2)
Se 0.203 0.500 0.147 (multiplicity 2)

Calculated values
- DFT total energy: -4.077 eV per atom
- Calculated volume: 214.4 Å³ per cell

No. 10
A geometry-optimized Hg2AuCl structure, computed with GGA-PBE.

a = 3.872 Å, b = 5.700 Å, c = 9.564 Å
α = 90.00°, β = 90.00°, γ = 90.00°
Space group Amm2 (No. 38)
Asymmetric unit:
Hg 0.000 0.000 0.000 (multiplicity 2)
Hg 0.500 0.000 0.287 (multiplicity 2)
Au 0.000 0.000 0.494 (multiplicity 2)
Cl 0.500 0.000 0.694 (multiplicity 2)

Calculated values
- DFT total energy: -1.526 eV per atom
- Calculated volume: 211.1 Å³ per cell

No. 11
A geometry-optimized NaPuTe4Pb2 structure, computed with GGA-PBE.

a = 7.876 Å, b = 4.570 Å, c = 7.960 Å
α = 90.00°, β = 108.90°, γ = 90.00°
Space group P2/m (No. 10)
Asymmetric unit:
Na 0.000 0.000 0.000 (multiplicity 1)
Pu 0.500 0.500 0.000 (multiplicity 1)
Te 0.255 0.500 0.242 (multiplicity 2)
Te 0.261 0.000 0.763 (multiplicity 2)
Pb 0.000 0.500 0.500 (multiplicity 1)
Pb 0.500 0.000 0.500 (multiplicity 1)

Calculated values
- DFT total energy: -5.129 eV per atom
- Calculated volume: 271.1 Å³ per cell

No. 12
A geometry-optimized Zr3Mn4 structure, computed with GGA-PBE.

a = 3.353 Å, b = 3.353 Å, c = 21.842 Å
α = 90.00°, β = 90.00°, γ = 90.00°
Space group I4/mmm (No. 139)
Asymmetric unit:
Zr 0.000 0.000 0.000 (multiplicity 2)
Zr 0.000 0.000 0.298 (multiplicity 4)
Mn 0.000 0.000 0.130 (multiplicity 4)
Mn 0.000 0.000 0.428 (multiplicity 4)

Calculated values
- DFT total energy: -8.719 eV per atom
- Calculated formation energy: 184 meV/atom
- Calculated volume: 245.6 Å³ per cell